Tl2Cu2WO6 | PBE+U | relaxed

Cell: 5.9297 5.9297 6.6254 Å, 63.42 63.42 60.00°
Fractional positions:
O 0.7787 0.2356 0.2070
O 0.2213 0.7644 0.7930
O 0.7644 0.2213 0.7930
O 0.2356 0.7787 0.2070
O 0.2213 0.2213 0.7930
O 0.7787 0.7787 0.2070
Tl 0.7860 0.7860 0.6419
Tl 0.2140 0.2140 0.3581
W 0.0000 0.0000 0.0000
Cu 0.3997 0.3997 0.8009
Cu 0.6003 0.6003 0.1991

## Properties
- size of the total moment (μB/f.u.) = 2.0
- E_tot (eV/atom) = -5.59